# PaAgRuRh GGA-PBE relaxed
# Density of states at the Fermi level in states/eV/f.u.: 3.0
# Formation energy from the elements in eV/atom: -0.2959
data_PaAgRuRh
_cell_length_a 6.5887
_cell_length_b 6.5887
_cell_length_c 6.5887
_cell_angle_alpha 90.00
_cell_angle_beta 90.00
_cell_angle_gamma 90.00
_symmetry_space_group_name_H-M 'F -4 3 m'
_symmetry_Int_Tables_number 216
_symmetry_space_group_name_Hall 'F -4 2 3'
loop_
_atom_site_label
_atom_site_type_symbol
_atom_site_fract_x
_atom_site_fract_y
_atom_site_fract_z
Pa1 Pa 0.0000 0.0000 0.0000
Ag1 Ag 0.0000 0.0000 0.5000
Ru1 Ru 0.2500 0.2500 0.7500
Rh1 Rh 0.2500 0.2500 0.2500

=====

# Sc2Pd9Pt GGA-PBE relaxed
# Density of states at the Fermi level in states/eV/f.u.: 9.3
# Formation energy from the elements in eV/atom: -0.5740
data_Sc2Pd9Pt
_cell_length_a 3.9740
_cell_length_b 3.9740
_cell_length_c 12.0593
_cell_angle_alpha 90.00
_cell_angle_beta 90.00
_cell_angle_gamma 90.00
_symmetry_space_group_name_H-M 'P 4/m m m'
_symmetry_Int_Tables_number 123
_symmetry_space_group_name_Hall '-P 4 2'
loop_
_atom_site_label
_atom_site_type_symbol
_atom_site_fract_x
_atom_site_fract_y
_atom_site_fract_z
Sc1 Sc 0.0000 0.0000 0.1680
Pd1 Pd 0.0000 0.5000 0.0000
Pd2 Pd 0.0000 0.5000 0.3343
Pd3 Pd 0.5000 0.5000 0.1675
Pd4 Pd 0.5000 0.5000 0.5000
Pt1 Pt 0.0000 0.0000 0.5000

=====

# Tm2CuPbSe4 GGA-PBE relaxed
# Density of states at the Fermi level in states/eV/f.u.: 2.9
# ΔE_f (raw) in eV/atom: -1.158
data_Tm2CuPbSe4
_cell_length_a 4.0266
_cell_length_b 13.5027
_cell_length_c 14.3618
_cell_angle_alpha 90.00
_cell_angle_beta 90.00
_cell_angle_gamma 90.00
_symmetry_space_group_name_H-M 'C m c m'
_symmetry_Int_Tables_number 63
_symmetry_space_group_name_Hall '-C 2c 2'
loop_
_atom_site_label
_atom_site_type_symbol
_atom_site_fract_x
_atom_site_fract_y
_atom_site_fract_z
Tm1 Tm 0.0000 0.1293 0.0672
Cu1 Cu 0.0000 0.3398 0.7500
Pb1 Pb 0.0000 0.3650 0.2500
Se1 Se 0.0000 0.0506 0.2500
Se2 Se 0.0000 0.2280 0.6106
Se3 Se 0.0000 0.5000 0.0000

=====

# Dy3TlPb2 GGA-PBE relaxed
# Density of states at the Fermi level in states/eV/f.u.: 4.2
# Formation energy from the elements in eV/atom: -0.3443
# E above lowest polymorph in eV/atom: 0.048
data_Dy3TlPb2
_cell_length_a 12.7803
_cell_length_b 4.7403
_cell_length_c 11.5276
_cell_angle_alpha 90.00
_cell_angle_beta 90.00
_cell_angle_gamma 90.00
_symmetry_space_group_name_H-M 'P n m a'
_symmetry_Int_Tables_number 62
_symmetry_space_group_name_Hall '-P 2ac 2n'
loop_
_atom_site_label
_atom_site_type_symbol
_atom_site_fract_x
_atom_site_fract_y
_atom_site_fract_z
Dy1 Dy 0.0279 0.2500 0.1222
Dy2 Dy 0.1423 0.7500 0.5785
Dy3 Dy 0.1927 0.2500 0.8244
Tl1 Tl 0.1593 0.2500 0.3456
Pb1 Pb 0.0036 0.7500 0.3343
Pb2 Pb 0.1791 0.7500 0.0450

=====

# La14HoZr GGA-PBE relaxed
# Density of states at the Fermi level in states/eV/f.u.: 26.5
# Formation energy from the elements in eV/atom: 0.0417
data_La14HoZr
_cell_length_a 7.3188
_cell_length_b 7.3188
_cell_length_c 10.4416
_cell_angle_alpha 90.00
_cell_angle_beta 90.00
_cell_angle_gamma 90.00
_symmetry_space_group_name_H-M 'P 4/m m m'
_symmetry_Int_Tables_number 123
_symmetry_space_group_name_Hall '-P 4 2'
loop_
_atom_site_label
_atom_site_type_symbol
_atom_site_fract_x
_atom_site_fract_y
_atom_site_fract_z
La1 La 0.0000 0.0000 0.0000
La2 La 0.0000 0.5000 0.0000
La3 La 0.0000 0.5000 0.5000
La4 La 0.2423 0.2423 0.2582
La5 La 0.5000 0.5000 0.0000
Ho1 Ho 0.5000 0.5000 0.5000
Zr1 Zr 0.0000 0.0000 0.5000

=====

# Ac5Pr2 GGA-PBE relaxed
# Density of states at the Fermi level in states/eV/f.u.: 14.6
# Formation energy from the elements in eV/atom: 0.1307
# E above lowest polymorph in eV/atom: 0.000
data_Ac5Pr2
_cell_length_a 6.2735
_cell_length_b 6.2735
_cell_length_c 26.3214
_cell_angle_alpha 90.00
_cell_angle_beta 90.00
_cell_angle_gamma 120.00
_symmetry_space_group_name_H-M 'R -3 m'
_symmetry_Int_Tables_number 166
_symmetry_space_group_name_Hall '-R 3 2"'
loop_
_atom_site_label
_atom_site_type_symbol
_atom_site_fract_x
_atom_site_fract_y
_atom_site_fract_z
Ac1 Ac 0.0000 0.0000 0.0000
Ac2 Ac 0.0000 0.0000 0.2701
Ac3 Ac 0.0000 0.0000 0.4228
Pr1 Pr 0.0000 0.0000 0.1370

=====

# Zn3RhBr GGA-PBE relaxed
# Density of states at the Fermi level in states/eV/f.u.: 1.9
# ΔE_f (raw) in eV/atom: 0.101
# E above lowest polymorph in eV/atom: 0.000
data_Zn3RhBr
_cell_length_a 4.8641
_cell_length_b 4.8641
_cell_length_c 4.8641
_cell_angle_alpha 90.00
_cell_angle_beta 90.00
_cell_angle_gamma 90.00
_symmetry_space_group_name_H-M 'P m -3 m'
_symmetry_Int_Tables_number 221
_symmetry_space_group_name_Hall '-P 4 2 3'
loop_
_atom_site_label
_atom_site_type_symbol
_atom_site_fract_x
_atom_site_fract_y
_atom_site_fract_z
Zn1 Zn 0.0000 0.0000 0.5000
Rh1 Rh 0.0000 0.0000 0.0000
Br1 Br 0.5000 0.5000 0.5000

=====

# Mn3Se GGA-PBE relaxed
# Density of states at the Fermi level in states/eV/f.u.: 3.6
# ΔE_f (raw) in eV/atom: 0.270
# E above lowest polymorph in eV/atom: 0.168
data_Mn3Se
_cell_length_a 3.1857
_cell_length_b 8.0006
_cell_length_c 4.1033
_cell_angle_alpha 90.00
_cell_angle_beta 90.00
_cell_angle_gamma 90.00
_symmetry_space_group_name_H-M 'I m m 2'
_symmetry_Int_Tables_number 44
_symmetry_space_group_name_Hall 'I 2 -2'
loop_
_atom_site_label
_atom_site_type_symbol
_atom_site_fract_x
_atom_site_fract_y
_atom_site_fract_z
Mn1 Mn 0.0000 0.0000 0.0000
Mn2 Mn 0.0000 0.2475 0.4356
Se1 Se 0.0000 0.5000 0.0055

=====

# CdCu2Br GGA-PBE relaxed
# Density of states at the Fermi level in states/eV/f.u.: 0.7
# ΔE_f (raw) in eV/atom: 0.339
# E above lowest polymorph in eV/atom: 0.289
data_CdCu2Br
_cell_length_a 5.9181
_cell_length_b 7.6462
_cell_length_c 3.2057
_cell_angle_alpha 90.00
_cell_angle_beta 90.00
_cell_angle_gamma 90.00
_symmetry_space_group_name_H-M 'C m m m'
_symmetry_Int_Tables_number 65
_symmetry_space_group_name_Hall '-C 2 2'
loop_
_atom_site_label
_atom_site_type_symbol
_atom_site_fract_x
_atom_site_fract_y
_atom_site_fract_z
Cd1 Cd 0.0000 0.0000 0.0000
Cu1 Cu 0.2500 0.2500 0.5000
Br1 Br 0.0000 0.5000 0.0000

=====

# RbSnSb3 GGA-PBE relaxed
# Density of states at the Fermi level in states/eV/f.u.: 7.1
# ΔE_f (raw) in eV/atom: 0.322
# E above lowest polymorph in eV/atom: 0.436
data_RbSnSb3
_cell_length_a 5.8194
_cell_length_b 5.8194
_cell_length_c 5.8194
_cell_angle_alpha 90.00
_cell_angle_beta 90.00
_cell_angle_gamma 90.00
_symmetry_space_group_name_H-M 'P m -3 m'
_symmetry_Int_Tables_number 221
_symmetry_space_group_name_Hall '-P 4 2 3'
loop_
_atom_site_label
_atom_site_type_symbol
_atom_site_fract_x
_atom_site_fract_y
_atom_site_fract_z
Rb1 Rb 0.0000 0.0000 0.0000
Sn1 Sn 0.5000 0.5000 0.5000
Sb1 Sb 0.0000 0.5000 0.5000

=====

# Tb2NdDySe4 GGA-PBE relaxed
# Density of states at the Fermi level in states/eV/f.u.: 4.7
# ΔE_f (raw) in eV/atom: -1.778
data_Tb2NdDySe4
_cell_length_a 7.1369
_cell_length_b 4.0712
_cell_length_c 7.2202
_cell_angle_alpha 90.00
_cell_angle_beta 108.82
_cell_angle_gamma 90.00
_symmetry_space_group_name_H-M 'P 1 2/m 1'
_symmetry_Int_Tables_number 10
_symmetry_space_group_name_Hall '-P 2y'
loop_
_atom_site_label
_atom_site_type_symbol
_atom_site_fract_x
_atom_site_fract_y
_atom_site_fract_z
Tb1 Tb 0.0000 0.0000 0.0000
Tb2 Tb 0.0000 0.5000 0.5000
Nd1 Nd 0.5000 0.0000 0.5000
Dy1 Dy 0.5000 0.5000 0.0000
Se1 Se 0.2426 0.5000 0.2411
Se2 Se 0.2475 0.0000 0.7555

=====

# TaTe2Mo GGA-PBE relaxed
# Density of states at the Fermi level in states/eV/f.u.: 2.6
# ΔE_f (raw) in eV/atom: 0.220
# E above lowest polymorph in eV/atom: 0.404
data_TaTe2Mo
_cell_length_a 9.5251
_cell_length_b 3.4731
_cell_length_c 5.0392
_cell_angle_alpha 90.00
_cell_angle_beta 104.24
_cell_angle_gamma 90.00
_symmetry_space_group_name_H-M 'C 1 m 1'
_symmetry_Int_Tables_number 8
_symmetry_space_group_name_Hall 'C -2y'
loop_
_atom_site_label
_atom_site_type_symbol
_atom_site_fract_x
_atom_site_fract_y
_atom_site_fract_z
Ta1 Ta 0.0000 0.0000 0.0000
Te1 Te 0.2608 0.0000 0.8581
Te2 Te 0.4955 0.0000 0.4743
Mo1 Mo 0.2577 0.5000 0.3189

=====

Question: Which of these has the highest density of states at the Fermi level?
Answer: La14HoZr

=====

Question: density of states at the Fermi level of number 2 (Sc2Pd9Pt)?
Answer: 9.3 states/eV/f.u.